Entry 1:
VASP calculation (GGA-PBE) on a relaxed structure of YbPmCd2.

Calculated values
Energy of formation from the pure elements = -1.5 eV per formula unit
DOS at the Fermi energy = 15.92 states/eV/f.u.

```
4
Lattice="-1.924 3.261 3.828 -5.065 1.803 -0.295 -3.707 -1.807 3.462" Properties=species:S:1:pos:R:3 pbc="T T T"
Cd -8.022 2.443 5.246
Cd -2.674 0.814 1.749
Yb 0.000 0.000 0.000
Pm -5.348 1.628 3.498
```

Entry 2:
VASP calculation (GGA-PBE) on a relaxed structure of Pm2ZnCd.

Calculated values
Energy of formation from the pure elements = -1.2 eV per formula unit
Excess energy over the best structure of this formula in the dataset = 24.4 meV per atom
DOS at the Fermi energy = 4.95 states/eV/f.u.

```
4
Lattice="5.305 0.000 0.000 2.653 4.594 0.000 2.653 1.531 4.332" Properties=species:S:1:pos:R:3 pbc="T T T"
Pm 7.958 4.594 3.249
Pm 2.653 1.531 1.083
Cd 5.305 3.063 2.166
Zn 0.000 0.000 0.000
```

Entry 3:
VASP calculation (GGA-PBE) on a relaxed structure of PmZn2Cd9.

Calculated values
Energy of formation from the pure elements = -1.1 eV per formula unit
DOS at the Fermi energy = 4.23 states/eV/f.u.

```
24
Lattice="6.833 0.000 3.146 3.417 8.326 1.573 -0.065 0.000 9.136" Properties=species:S:1:pos:R:3 pbc="T T T"
Cd 6.527 4.786 4.681
Cd 5.683 6.803 6.514
Cd 0.000 0.000 0.000
Cd 9.067 5.685 12.654
Cd 3.690 7.703 4.606
Cd 4.534 5.685 2.773
Cd 6.800 4.163 7.714
Cd 4.351 0.623 4.910
Cd 7.918 6.803 8.914
Cd 2.417 0.623 7.372
Cd 2.449 3.540 2.804
Cd 5.195 2.640 3.077
Cd 7.074 4.786 10.746
Cd 5.162 1.522 7.645
Cd 1.573 2.640 9.204
Cd 9.911 7.703 10.822
Cd 1.606 1.522 4.637
Cd 4.318 3.540 9.478
Pm 3.417 0.000 1.573
Pm 3.384 4.163 6.141
Zn 6.784 2.081 9.998
Zn 5.076 6.244 9.211
Zn 6.817 2.081 5.430
Zn 8.525 6.244 6.216
```

Entry 4:
VASP calculation (GGA-PBE) on a relaxed structure of Pm3ZnCd.

Calculated values
Energy of formation from the pure elements = -1.2 eV per formula unit
Excess energy over the best structure of this formula in the dataset = 0.0 meV per atom
DOS at the Fermi energy = 5.71 states/eV/f.u.

```
10
Lattice="-3.072 3.416 -2.664 -3.633 -3.806 -0.691 -5.968 4.387 7.215" Properties=species:S:1:pos:R:3 pbc="T T T"
Zn -6.631 0.792 -0.062
Zn -8.033 5.420 2.196
Pm -4.013 2.210 -1.263
Pm -7.297 4.196 5.071
Pm -4.295 -1.400 -0.273
Pm -5.655 3.203 1.904
Pm -10.651 4.002 3.396
Pm -5.937 -0.407 2.893
Cd -8.303 1.803 3.161
Cd -3.290 0.994 1.636
```

Entry 5:
VASP calculation (GGA-PBE) on a relaxed structure of PmZnCd.

Calculated values
Energy of formation from the pure elements = -0.6 eV per formula unit
Excess energy over the best structure of this formula in the dataset = 127.2 meV per atom
DOS at the Fermi energy = 4.41 states/eV/f.u.

```
3
Lattice="-1.622 -3.857 2.311 2.130 -1.444 4.028 -2.236 0.493 4.196" Properties=species:S:1:pos:R:3 pbc="T T T"
Zn -0.432 -1.202 2.634
Cd -0.864 -2.404 5.267
Pm 0.000 0.000 0.000
```

Entry 6:
VASP calculation (GGA-PBE) on a relaxed structure of Pm6Zn5Cd.

Calculated values
Energy of formation from the pure elements = -3.7 eV per formula unit
DOS at the Fermi energy = 13.67 states/eV/f.u.

```
12
Lattice="4.938 -0.029 1.646 0.040 7.396 0.013 -0.003 -0.015 8.241" Properties=species:S:1:pos:R:3 pbc="T T T"
Cd 0.000 0.000 0.000
Pm 0.849 1.875 5.717
Pm 2.479 1.908 0.826
Pm 0.869 5.491 5.724
Pm 4.106 1.861 4.176
Pm 2.498 5.458 0.833
Pm 4.125 5.476 4.182
Zn 0.020 3.698 0.007
Zn 3.280 -0.029 6.620
Zn 3.306 3.668 6.610
Zn 1.669 3.683 3.290
Zn 1.655 -0.015 3.267
```